(1)
Tb5DyTm7 | GGA-PBE | optimized geometry

N(E_F) in states/eV/atom: 1.6929
Energy in eV per atom: -4.28

Unit cell a=6.6395 b=10.9373 c=11.4271 alpha=90.00 beta=90.00 gamma=90.00
Space group Imm2 (No. 44)
Symmetry-distinct sites (fractional):
Tb 0.0000 0.0000 0.0000 [2 per cell]
Tb 0.2300 0.2736 0.9987 [8 per cell]
Dy 0.0000 0.5000 0.1956 [2 per cell]
Tm 0.0000 0.0000 0.4994 [2 per cell]
Tm 0.0000 0.1688 0.2508 [4 per cell]
Tm 0.0000 0.1692 0.7478 [4 per cell]
Tm 0.0000 0.5000 0.5014 [2 per cell]
Tm 0.0000 0.5000 0.8067 [2 per cell]



(2)
Pm2CuSi2 | GGA-PBE | optimized geometry

N(E_F) in states/eV/atom: 0.6082
Formation energy (no corrections) in eV/atom: -0.6687
Energy in eV per atom: -5.56

Unit cell a=10.8450 b=4.1955 c=10.6543 alpha=90.00 beta=117.82 gamma=90.00
Space group C2/m (No. 12)
Symmetry-distinct sites (fractional):
Pm 0.1052 0.0000 0.4039 [4 per cell]
Pm 0.2102 0.5000 0.1494 [4 per cell]
Cu 0.0625 0.5000 0.8161 [4 per cell]
Si 0.0366 0.0000 0.9108 [4 per cell]
Si 0.1119 0.5000 0.6124 [4 per cell]



(3)
CaZrHg | GGA-PBE | optimized geometry

ΔE to the lowest computed polymorph in meV/atom: 0
N(E_F) in states/eV/atom: 0.8978
Energy in eV per atom: -3.81

Unit cell a=3.5177 b=16.8200 c=5.1976 alpha=90.00 beta=90.00 gamma=90.00
Space group Cmcm (No. 63)
Symmetry-distinct sites (fractional):
Ca 0.0000 0.0803 0.2500 [4 per cell]
Zr 0.0000 0.2332 0.7500 [4 per cell]
Hg 0.0000 0.4108 0.2500 [4 per cell]